PRuS2Cl | PBE-GGA | relaxed

Cell and atoms, written as POSCAR:
```
PRuS2Cl
1.0
4.485 0.000 0.000
0.000 4.485 0.000
0.000 0.000 4.465
Cl Ru S P
1 1 2 1
direct
0.000 0.000 0.000
0.500 0.500 0.500
0.500 0.000 0.000
0.000 0.500 0.000
0.000 0.000 0.500
```

Results
**V**: 17.96 A^3/atom
**Spin magnetization**: 0.00 μB/cell
**N(E_F)**: 4.2 states/eV/f.u.
**ΔE_f (raw)**: 1679 meV per atom

Hg2PbCl | PBE-GGA | relaxed

Cell and atoms, written as POSCAR:
```
Hg2PbCl
1.0
5.872 -0.001 0.000
2.000 5.520 0.000
-3.936 -2.760 3.372
Pb Hg Cl
1 2 1
direct
0.500 0.500 0.000
0.250 0.750 0.500
0.000 0.000 0.000
0.750 0.250 0.500
```

Results
**V**: 27.32 A^3/atom
**Spin magnetization**: 0.00 μB/cell
**N(E_F)**: 1.4 states/eV/f.u.
**ΔE_f (raw)**: -218 meV per atom

YTcAg4 | PBE-GGA | relaxed

Cell and atoms, written as POSCAR:
```
YTcAg4
1.0
-0.549 -0.176 5.467
2.115 4.013 3.105
-3.335 3.554 2.544
Ag Tc Y
4 1 1
direct
0.375 0.874 0.375
0.375 0.375 0.874
0.874 0.375 0.375
0.375 0.375 0.375
0.750 0.750 0.750
0.000 0.000 0.000
```

Results
**V**: 19.58 A^3/atom
**Spin magnetization**: 2.29 μB/cell
**N(E_F)**: 6.7 states/eV/f.u.
**ΔH_f (0 K)**: 283.4 meV per atom